A relaxed structure of Ca2YTlNi, computed with GGA-PBE. Values from VASP.

Quantum ESPRESSO input file:
```
&SYSTEM
  ibrav = 0, nat = 5, ntyp = 4
/
ATOMIC_SPECIES
Ca 40.08 Ca.upf
Ni 58.69 Ni.upf
Y 88.91 Y.upf
Tl 204.38 Tl.upf
CELL_PARAMETERS angstrom
5.388 0.000 0.000
0.000 5.388 0.000
0.000 0.000 5.204
ATOMIC_POSITIONS crystal
Ca 0.500 0.000 0.000
Ca 0.000 0.500 0.000
Ni 0.000 0.000 0.000
Y 0.000 0.000 0.500
Tl 0.500 0.500 0.500
```

## Properties
Energy of formation, kJ/mol of formula units: -58
Calculated volume, A^3/atom: 30.21
Total moment, μB/f.u.: 0.0

A relaxed structure of RbGeB3, computed with GGA-PBE. Values from VASP.

Quantum ESPRESSO input file:
```
&SYSTEM
  ibrav = 0, nat = 5, ntyp = 3
/
ATOMIC_SPECIES
B 10.81 B.upf
Ge 72.64 Ge.upf
Rb 85.47 Rb.upf
CELL_PARAMETERS angstrom
-2.164 3.729 -2.241
-3.627 -0.164 3.229
2.402 3.111 2.856
ATOMIC_POSITIONS crystal
B 0.000 0.500 0.000
B 0.000 0.000 0.500
B 0.500 0.000 0.000
Ge 0.500 0.500 0.500
Rb 0.000 0.000 0.000
```

## Properties
Energy of formation, kJ/mol of formula units: 1640
Calculated volume, A^3/atom: 22.94
Total moment, μB/f.u.: 0.4

A relaxed structure of Cs4K3LiBr8, computed with GGA-PBE. Values from VASP.

Quantum ESPRESSO input file:
```
&SYSTEM
  ibrav = 0, nat = 16, ntyp = 4
/
ATOMIC_SPECIES
Cs 132.91 Cs.upf
Br 79.90 Br.upf
K 39.10 K.upf
Li 6.94 Li.upf
CELL_PARAMETERS angstrom
9.687 0.000 0.000
0.000 9.782 0.030
-4.843 -4.860 6.973
ATOMIC_POSITIONS crystal
Cs 0.500 0.000 0.000
Cs 0.000 0.000 0.500
Cs 0.500 0.000 0.500
Cs 0.000 0.000 0.000
Br 0.234 0.296 0.015
Br 0.243 0.725 0.486
Br 0.757 0.275 0.514
Br 0.741 0.722 0.482
Br 0.766 0.704 0.985
Br 0.219 0.704 0.985
Br 0.259 0.278 0.518
Br 0.781 0.296 0.015
K 0.000 0.500 0.500
K 0.500 0.500 0.500
K 0.500 0.500 0.000
Li 0.000 0.500 0.000
```

## Properties
Formation energy without anion corrections, eV/f.u.: -27.0
Calculated volume, A^3/atom: 41.38
Total moment, μB/f.u.: 0.0

A relaxed structure of LaSi2Br, computed with GGA-PBE. Values from VASP.

Quantum ESPRESSO input file:
```
&SYSTEM
  ibrav = 0, nat = 4, ntyp = 3
/
ATOMIC_SPECIES
La 138.91 La.upf
Br 79.90 Br.upf
Si 28.09 Si.upf
CELL_PARAMETERS angstrom
5.532 -0.003 0.000
-2.324 5.020 0.000
0.000 0.000 3.340
ATOMIC_POSITIONS crystal
La 0.000 0.500 0.500
Br 0.500 0.000 0.500
Si 0.000 0.000 0.000
Si 0.500 0.500 0.000
```

## Properties
Formation energy without anion corrections, eV/f.u.: -0.1
Calculated volume, A^3/atom: 23.18
Total moment, μB/f.u.: 0.0

A relaxed structure of KAl2S, computed with GGA-PBE. Values from VASP.

Quantum ESPRESSO input file:
```
&SYSTEM
  ibrav = 0, nat = 8, ntyp = 3
/
ATOMIC_SPECIES
K 39.10 K.upf
Al 26.98 Al.upf
S 32.06 S.upf
CELL_PARAMETERS angstrom
8.160 0.000 0.000
0.000 8.160 0.000
4.080 4.080 3.014
ATOMIC_POSITIONS crystal
K 0.750 0.250 0.500
K 0.000 0.000 0.000
Al 0.189 0.625 0.250
Al 0.561 0.125 0.250
Al 0.875 0.811 0.750
Al 0.375 0.439 0.750
S 0.250 0.750 0.500
S 0.500 0.500 0.000
```

## Properties
Formation energy without anion corrections, eV/f.u.: -0.2
Calculated volume, A^3/atom: 25.08
Total moment, μB/f.u.: 0.0

A relaxed structure of MgTi2VAs, computed with GGA-PBE. Values from VASP.

Quantum ESPRESSO input file:
```
&SYSTEM
  ibrav = 0, nat = 5, ntyp = 4
/
ATOMIC_SPECIES
Mg 24.30 Mg.upf
V 50.94 V.upf
As 74.92 As.upf
Ti 47.87 Ti.upf
CELL_PARAMETERS angstrom
4.589 0.000 0.000
0.000 4.723 0.000
0.000 0.000 4.589
ATOMIC_POSITIONS crystal
Mg 0.500 0.500 0.500
V 0.000 0.000 0.000
As 0.000 0.500 0.000
Ti 0.500 0.000 0.000
Ti 0.000 0.000 0.500
```

## Properties
Energy of formation, kJ/mol of formula units: 188
Calculated volume, A^3/atom: 19.89
Total moment, μB/f.u.: 0.0

A relaxed structure of Zr2Ga2As, computed with GGA-PBE. Values from VASP.

Quantum ESPRESSO input file:
```
&SYSTEM
  ibrav = 0, nat = 10, ntyp = 3
/
ATOMIC_SPECIES
Ga 69.72 Ga.upf
Zr 91.22 Zr.upf
As 74.92 As.upf
CELL_PARAMETERS angstrom
7.058 0.000 0.000
0.000 7.058 0.000
0.000 0.000 4.119
ATOMIC_POSITIONS crystal
Ga 0.866 0.366 0.500
Ga 0.366 0.134 0.500
Ga 0.634 0.866 0.500
Ga 0.134 0.634 0.500
Zr 0.170 0.330 0.000
Zr 0.830 0.670 0.000
Zr 0.670 0.170 0.000
Zr 0.330 0.830 0.000
As 0.500 0.500 0.000
As 0.000 0.000 0.000
```

## Properties
Energy of formation, kJ/mol of formula units: -289
Calculated volume, A^3/atom: 20.52
Total moment, μB/f.u.: 0.0

A relaxed structure of CsBe2VBr8, computed with GGA-PBE. Values from VASP.

Quantum ESPRESSO input file:
```
&SYSTEM
  ibrav = 0, nat = 12, ntyp = 4
/
ATOMIC_SPECIES
Br 79.90 Br.upf
Be 9.01 Be.upf
V 50.94 V.upf
Cs 132.91 Cs.upf
CELL_PARAMETERS angstrom
6.419 0.000 0.000
3.209 5.559 0.000
3.210 1.853 10.607
ATOMIC_POSITIONS crystal
Br 0.272 0.962 0.141
Br 0.802 0.802 0.593
Br 0.728 0.038 0.859
Br 0.038 0.376 0.859
Br 0.198 0.198 0.407
Br 0.624 0.272 0.141
Br 0.962 0.624 0.141
Br 0.376 0.728 0.859
Be 0.265 0.265 0.205
Be 0.735 0.735 0.795
V 0.000 0.000 0.000
Cs 0.500 0.500 0.500
```

## Properties
Formation energy without anion corrections, eV/f.u.: -12.6
Calculated volume, A^3/atom: 31.54
Total moment, μB/f.u.: 2.0

A relaxed structure of Sm6Ho3Er, computed with GGA-PBE. Values from VASP.

Quantum ESPRESSO input file:
```
&SYSTEM
  ibrav = 0, nat = 20, ntyp = 3
/
ATOMIC_SPECIES
Ho 164.93 Ho.upf
Sm 150.36 Sm.upf
Er 167.26 Er.upf
CELL_PARAMETERS angstrom
-4.121 -4.543 1.230
7.461 -5.023 6.450
-6.962 7.470 4.268
ATOMIC_POSITIONS crystal
Ho 0.966 0.721 0.944
Ho 0.966 0.056 0.279
Ho 0.466 0.279 0.056
Ho 0.074 0.387 0.613
Ho 0.466 0.944 0.721
Ho 0.574 0.613 0.387
Sm 0.358 0.524 0.945
Sm 0.147 0.722 0.278
Sm 0.647 0.278 0.722
Sm 0.358 0.055 0.476
Sm 0.409 0.959 0.041
Sm 0.543 0.289 0.377
Sm 0.043 0.377 0.289
Sm 0.858 0.476 0.055
Sm 0.043 0.711 0.623
Sm 0.909 0.041 0.959
Sm 0.543 0.623 0.711
Sm 0.858 0.945 0.524
Er 0.622 0.800 0.200
Er 0.122 0.200 0.800
```

## Properties
Energy of formation, kJ/mol of formula units: 141
Calculated volume, A^3/atom: 33.06
Total moment, μB/f.u.: 0.0

A relaxed structure of TbPr2Tm, computed with GGA-PBE. Values from VASP.

Quantum ESPRESSO input file:
```
&SYSTEM
  ibrav = 0, nat = 4, ntyp = 3
/
ATOMIC_SPECIES
Tb 158.93 Tb.upf
Tm 168.93 Tm.upf
Pr 140.91 Pr.upf
CELL_PARAMETERS angstrom
-0.889 3.620 3.403
-1.918 -3.513 3.236
4.690 -0.723 1.995
ATOMIC_POSITIONS crystal
Tb 0.500 0.500 0.500
Tm 0.500 0.000 0.000
Pr 0.000 0.500 0.000
Pr 0.000 0.000 0.500
```

## Properties
Energy of formation, kJ/mol of formula units: 7
Calculated volume, A^3/atom: 33.44
Total moment, μB/f.u.: 0.0

A relaxed structure of Pm7Nd2Er4, computed with GGA-PBE. Values from VASP.

Quantum ESPRESSO input file:
```
&SYSTEM
  ibrav = 0, nat = 13, ntyp = 3
/
ATOMIC_SPECIES
Pm 145.00 Pm.upf
Nd 144.24 Nd.upf
Er 167.26 Er.upf
CELL_PARAMETERS angstrom
-6.275 9.426 1.392
1.934 -11.758 -5.257
-1.443 -3.116 5.219
ATOMIC_POSITIONS crystal
Pm 0.000 0.000 0.000
Pm 0.464 0.540 0.231
Pm 0.536 0.460 0.769
Pm 0.229 0.768 0.615
Pm 0.150 0.845 0.078
Pm 0.850 0.155 0.922
Pm 0.771 0.232 0.385
Nd 0.688 0.305 0.847
Nd 0.312 0.695 0.153
Er 0.613 0.384 0.309
Er 0.926 0.078 0.463
Er 0.074 0.922 0.537
Er 0.387 0.616 0.691
```

## Properties
Energy of formation, kJ/mol of formula units: 18
Calculated volume, A^3/atom: 33.25
Total moment, μB/f.u.: 0.0

A relaxed structure of AgH2W, computed with GGA-PBE. Values from VASP.

Quantum ESPRESSO input file:
```
&SYSTEM
  ibrav = 0, nat = 8, ntyp = 3
/
ATOMIC_SPECIES
H 1.01 H.upf
Ag 107.87 Ag.upf
W 183.84 W.upf
CELL_PARAMETERS angstrom
-1.156 2.396 -4.459
-2.991 -4.014 -1.381
-4.427 0.494 -1.610
ATOMIC_POSITIONS crystal
H 0.073 0.625 0.250
H 0.375 0.323 0.750
H 0.875 0.927 0.750
H 0.677 0.125 0.250
Ag 0.500 0.500 0.000
Ag 0.250 0.750 0.500
W 0.000 0.000 0.000
W 0.750 0.250 0.500
```

## Properties
Calculated total energy, eV per atom: -5.148
Calculated volume, A^3/atom: 10.08
Total moment, μB/f.u.: 0.0

A relaxed structure of YCoBr2, computed with GGA-PBE. Values from VASP.

Quantum ESPRESSO input file:
```
&SYSTEM
  ibrav = 0, nat = 4, ntyp = 3
/
ATOMIC_SPECIES
Br 79.90 Br.upf
Co 58.93 Co.upf
Y 88.91 Y.upf
CELL_PARAMETERS angstrom
7.903 -0.159 -0.095
6.971 3.725 -0.095
6.971 1.671 3.330
ATOMIC_POSITIONS crystal
Br 0.195 0.195 0.195
Br 0.023 0.023 0.023
Co 0.508 0.508 0.508
Y 0.773 0.773 0.773
```

## Properties
Formation energy without anion corrections, eV/f.u.: -3.0
Calculated volume, A^3/atom: 26.11
Total moment, μB/f.u.: 0.0

A relaxed structure of Cs8Na3Hg2, computed with GGA-PBE. Values from VASP.

Quantum ESPRESSO input file:
```
&SYSTEM
  ibrav = 0, nat = 13, ntyp = 3
/
ATOMIC_SPECIES
Cs 132.91 Cs.upf
Hg 200.59 Hg.upf
Na 22.99 Na.upf
CELL_PARAMETERS angstrom
-3.287 0.611 -6.599
2.880 -11.307 -2.482
-10.697 2.351 5.546
ATOMIC_POSITIONS crystal
Cs 0.500 0.153 0.746
Cs 0.000 0.108 0.216
Cs 0.000 0.309 0.617
Cs 0.500 0.593 0.746
Cs 0.000 0.892 0.784
Cs 0.500 0.407 0.254
Cs 0.000 0.691 0.383
Cs 0.500 0.847 0.254
Hg 0.500 0.223 0.447
Hg 0.500 0.777 0.553
Na 0.000 0.338 0.000
Na 0.500 0.000 0.000
Na 0.000 0.662 0.000
```

## Properties
Energy of formation, kJ/mol of formula units: -39
Calculated volume, A^3/atom: 72.84
Total moment, μB/f.u.: 0.0

A relaxed structure of Dy3Tm13, computed with GGA-PBE. Values from VASP.

Quantum ESPRESSO input file:
```
&SYSTEM
  ibrav = 0, nat = 16, ntyp = 2
/
ATOMIC_SPECIES
Tm 168.93 Tm.upf
Dy 162.50 Dy.upf
CELL_PARAMETERS angstrom
-7.850 2.253 -1.425
1.210 -3.745 -7.297
-2.277 -6.169 2.789
ATOMIC_POSITIONS crystal
Tm 0.708 0.292 0.500
Tm 0.209 0.791 0.500
Tm 0.458 0.542 0.250
Tm 0.209 0.791 0.000
Tm 0.790 0.707 0.500
Tm 0.293 0.210 0.500
Tm 0.458 0.542 0.750
Tm 0.292 0.209 0.000
Tm 0.541 0.958 0.750
Tm 0.791 0.708 0.000
Tm 0.042 0.459 0.750
Tm 0.042 0.459 0.250
Tm 0.541 0.958 0.250
Dy 0.959 0.041 0.749
Dy 0.708 0.292 0.000
Dy 0.959 0.041 0.251
```

## Properties
Energy of formation, kJ/mol of formula units: -3
Calculated volume, A^3/atom: 30.50
Total moment, μB/f.u.: 0.0

A relaxed structure of AlHgRh2, computed with GGA-PBE. Values from VASP.

Quantum ESPRESSO input file:
```
&SYSTEM
  ibrav = 0, nat = 4, ntyp = 3
/
ATOMIC_SPECIES
Al 26.98 Al.upf
Hg 200.59 Hg.upf
Rh 102.91 Rh.upf
CELL_PARAMETERS angstrom
4.298 -0.084 -0.008
3.318 2.734 -0.008
1.082 0.377 5.502
ATOMIC_POSITIONS crystal
Al 0.750 0.750 0.750
Hg 0.250 0.250 0.250
Rh 0.012 0.012 0.954
Rh 0.488 0.488 0.546
```

## Properties
Energy of formation, kJ/mol of formula units: -94
Calculated volume, A^3/atom: 16.55
Total moment, μB/f.u.: 0.4

A relaxed structure of La2BiH, computed with GGA-PBE. Values from VASP.

Quantum ESPRESSO input file:
```
&SYSTEM
  ibrav = 0, nat = 8, ntyp = 3
/
ATOMIC_SPECIES
La 138.91 La.upf
Bi 208.98 Bi.upf
H 1.01 H.upf
CELL_PARAMETERS angstrom
7.618 0.000 0.000
0.000 7.618 0.000
3.809 3.809 3.722
ATOMIC_POSITIONS crystal
La 0.875 0.792 0.750
La 0.208 0.625 0.250
La 0.542 0.125 0.250
La 0.375 0.458 0.750
Bi 0.750 0.250 0.500
Bi 0.000 0.000 0.000
H 0.500 0.500 0.000
H 0.250 0.750 0.500
```

## Properties
Calculated total energy, eV per atom: -4.933
Calculated volume, A^3/atom: 27.00
Total moment, μB/f.u.: 0.0

A relaxed structure of Tb8Sm6Y, computed with GGA-PBE. Values from VASP.

Quantum ESPRESSO input file:
```
&SYSTEM
  ibrav = 0, nat = 15, ntyp = 3
/
ATOMIC_SPECIES
Tb 158.93 Tb.upf
Sm 150.36 Sm.upf
Y 88.91 Y.upf
CELL_PARAMETERS angstrom
-6.418 -2.965 5.772
-3.713 -8.258 -1.154
1.531 -6.512 5.573
ATOMIC_POSITIONS crystal
Tb 0.746 0.720 0.422
Tb 0.423 0.423 0.731
Tb 0.280 0.889 0.578
Tb 0.577 0.577 0.269
Tb 0.720 0.111 0.422
Tb 0.889 0.254 0.578
Tb 0.254 0.280 0.578
Tb 0.111 0.746 0.422
Sm 0.231 0.538 0.126
Sm 0.769 0.462 0.874
Sm 0.538 0.104 0.126
Sm 0.462 0.896 0.874
Sm 0.104 0.231 0.126
Sm 0.896 0.769 0.874
Y 0.000 0.000 0.000
```

## Properties
Energy of formation, kJ/mol of formula units: 177
Calculated volume, A^3/atom: 33.34
Total moment, μB/f.u.: 0.0